VASP calculation (PBE-GGA) on an optimized crystal structure of Pr3Dy2UN6.

Magnetic moment = 0.000 Bohr magnetons per cell
Total DFT energy (no corrections) = -8.566 eV per atom
Symmetry = C2/m (12)

Geometry as POSCAR:
```
Pr3Dy2UN6
1.0
6.120 0.004 0.001
-3.055 5.302 0.001
-1.021 -1.768 5.884
N Dy Pr U
6 2 3 1
Direct
0.237 0.237 0.780 N
0.072 0.382 0.217 N
0.928 0.618 0.783 N
0.763 0.763 0.220 N
0.382 0.072 0.217 N
0.618 0.928 0.783 N
0.666 0.334 0.000 Dy
0.334 0.666 0.000 Dy
0.168 0.832 0.500 Pr
0.832 0.168 0.500 Pr
0.500 0.500 0.500 Pr
0.000 0.000 0.000 U
```